No. 1
# GGA-PBE Mn3RhBr, relaxed
data_Mn3RhBr
_chemical_formula_sum 'Mn3 Rh1 Br1'
_space_group_name_H-M_alt 'P m -3 m'
_space_group_IT_number 221
_space_group_name_Hall '-P 4 2 3'
_cell_length_a 4.2447
_cell_length_b 4.2447
_cell_length_c 4.2447
_cell_angle_alpha 90.00
_cell_angle_beta 90.00
_cell_angle_gamma 90.00
loop_
_atom_site_label
_atom_site_type_symbol
_atom_site_fract_x
_atom_site_fract_y
_atom_site_fract_z
Mn1 Mn 0.0000 0.0000 0.5000
Rh1 Rh 0.5000 0.5000 0.5000
Br1 Br 0.0000 0.0000 0.0000
# * density: 7.548 Mg/m³
# * E_form (uncorrected): 1.538 eV/atom
# * final energy: -0.212 Ha/atom
# * offset from the most stable computed form: 823 meV/atom



No. 2
# GGA-PBE Li12Ca5Mg2, relaxed
data_Li12Ca5Mg2
_chemical_formula_sum 'Li24 Ca10 Mg4'
_space_group_name_H-M_alt 'C 1 2/m 1'
_space_group_IT_number 12
_cell_length_a 16.2428
_cell_length_b 7.9566
_cell_length_c 7.7884
_cell_angle_alpha 90.00
_cell_angle_beta 91.08
_cell_angle_gamma 90.00
loop_
_space_group_symop_operation_xyz
'x,y,z'
'-x,-y,-z'
'-x,y,-z'
'x,-y,z'
'x+1/2,y+1/2,z'
'-x+1/2,-y+1/2,-z'
'-x+1/2,y+1/2,-z'
'x+1/2,-y+1/2,z'
loop_
_atom_site_label
_atom_site_type_symbol
_atom_site_fract_x
_atom_site_fract_y
_atom_site_fract_z
Li1 Li 0.0513 0.0000 0.1624
Li2 Li 0.0915 0.5000 0.5946
Li3 Li 0.1020 0.1939 0.8362
Li4 Li 0.1327 0.3079 0.2598
Ca1 Ca 0.0000 0.5000 0.0000
Ca2 Ca 0.2036 0.0000 0.5329
Ca3 Ca 0.2420 0.5000 0.9432
Mg1 Mg 0.0000 0.1879 0.5000
# * ΔE_f: 32 meV per atom
# * density: 1.097 Mg/m³
# * final energy: -0.069 Ha/atom